# RbHfGa2

RbHfGa2 after structural relaxation (PBE-GGA, Alexandria).

Geometry as POSCAR:
```
RbHfGa2
1.0
5.6785 0.0000 0.0000
0.0000 5.6785 0.0000
2.8392 2.8392 9.2176
Hf Ga Rb
2 4 2
Direct
0.0000 0.0000 0.0000
0.7500 0.2500 0.5000
0.8350 0.1250 0.2500
0.9150 0.6250 0.2500
0.3750 0.1650 0.7500
0.8750 0.0850 0.7500
0.5000 0.5000 0.0000
0.2500 0.7500 0.5000
```

The calculated total energy comes out at -3.67 eV/atom. The formation energy comes out at 570.8 meV/atom. As for the total magnetization: 0.00 μB/f.u. Its offset from the most stable computed form is 37.5 meV per atom.

# Rb2Pt

Rb2Pt after structural relaxation (PBE-GGA, Alexandria).

Geometry as POSCAR:
```
Rb2Pt
1.0
-0.6500 -14.0244 7.1678
-5.2623 -14.4375 3.5142
4.7063 13.0868 -7.4209
Rb Pt
4 2
Direct
0.4447 0.4447 0.0000
0.5553 0.5553 0.0000
0.1947 0.6947 0.5000
0.3053 0.8053 0.5000
0.7500 0.2500 0.5000
0.0000 0.0000 0.0000
```

The calculated total energy comes out at -2.47 eV/atom. The formation energy comes out at 185.4 meV/atom. As for the total magnetization: 0.00 μB/f.u.

# SbHSeN2

SbHSeN2 after structural relaxation (PBE-GGA, Alexandria).

Geometry as POSCAR:
```
SbHSeN2
1.0
-2.3429 -2.9626 2.0071
1.7961 -3.0486 -2.4031
2.3625 -0.3614 2.2243
Sb H Se N
1 1 1 2
Direct
0.5000 0.5000 0.5000
0.0000 0.0000 0.0000
0.0000 0.0000 0.5000
0.0000 0.5000 0.0000
0.5000 0.0000 0.0000
```

The calculated total energy comes out at -3.79 eV/atom. As for the total magnetization: 0.84 μB/f.u. Its offset from the most stable computed form is 0.0 meV per atom.

# Pm7Ho2Tm2

Pm7Ho2Tm2 after structural relaxation (PBE-GGA, Alexandria).

Geometry as POSCAR:
```
Pm7Ho2Tm2
1.0
-2.7709 4.8907 -0.2062
-6.9051 -3.8245 2.0810
6.4781 0.7229 6.8130
Pm Ho Tm
7 2 2
Direct
0.1349 0.0529 0.2698
0.1328 0.4580 0.2657
0.5000 0.9205 0.0000
0.3366 0.4596 0.6732
0.6634 0.7864 0.3268
0.8651 0.7830 0.7302
0.8672 0.1924 0.7343
0.2989 0.9206 0.5978
0.7011 0.3228 0.4022
0.0000 0.6216 0.0000
0.5000 0.3362 0.0000
```

The calculated total energy comes out at -4.56 eV/atom. The formation energy comes out at 112.7 meV/atom. As for the total magnetization: 0.00 μB/f.u. Its offset from the most stable computed form is 0.0 meV per atom.

# NdTl2AsS4

NdTl2AsS4 after structural relaxation (PBE-GGA, Alexandria).

Geometry as POSCAR:
```
NdTl2AsS4
1.0
-3.4363 0.0710 -7.9624
-6.0126 -5.4335 2.4600
0.8693 7.2188 4.0278
Nd Tl As S
2 4 2 8
Direct
0.9898 0.4905 0.9813
0.9897 0.4905 0.4990
0.5007 0.0009 0.0094
0.5006 0.0009 0.4920
0.0244 0.0193 0.5219
0.4988 0.5161 0.0073
0.3924 0.4773 0.4349
0.9534 0.9601 0.9567
0.2097 0.7037 0.9567
0.7764 0.2721 0.5242
0.2209 0.6941 0.4575
0.8097 0.2193 0.0145
0.8047 0.7823 0.0108
0.8046 0.7822 0.5762
0.2620 0.2953 0.4973
0.2622 0.2954 0.0603
```

Its formation energy (no corrections) is -820 meV per atom. The calculated total energy comes out at -4.65 eV/atom. As for the total magnetization: 0.00 μB/f.u.

# Ag2SnHg

Ag2SnHg after structural relaxation (PBE-GGA, Alexandria).

Geometry as POSCAR:
```
Ag2SnHg
1.0
7.9493 0.0000 0.0000
0.0000 7.9493 0.0000
3.9747 3.9747 2.9618
Hg Ag Sn
2 4 2
Direct
0.0000 0.0000 0.0000
0.7500 0.2500 0.5000
0.6219 0.1250 0.2500
0.1281 0.6250 0.2500
0.3750 0.3781 0.7500
0.8750 0.8719 0.7500
0.5000 0.5000 0.0000
0.2500 0.7500 0.5000
```

The calculated total energy comes out at -2.32 eV/atom. The formation energy comes out at 180.8 meV/atom. As for the total magnetization: 0.00 μB/f.u. Its offset from the most stable computed form is 125.0 meV per atom.